Compound: VAsN2O
Source: Alexandria
Functional: GGA+U
Structure: optimized geometry

Cell: 3.9363 3.9363 3.6132 Å, 90.00 90.00 90.00°
Closest atoms and distances in Å follow each position.
Space group P4/mmm (No. 123)
Unique sites:
V (0.0000, 0.0000, 0.0000) (multiplicity 1)  2 O 1.81, 4 N 1.97
As (0.5000, 0.5000, 0.5000) (multiplicity 1)  8 N 2.67, 4 O 2.78
N (0.0000, 0.5000, 0.0000) (multiplicity 2)  2 V 1.97
O (0.0000, 0.0000, 0.5000) (multiplicity 1)  2 V 1.81

- Energy: -31.71 eV for the cell shown
- Volume: 11.197 Å³/atom